Ta4Cu3Mo2N3 | PBE-GGA | relaxed

Lattice parameters (Å, degrees): 9.104 5.177 13.751 90.00 103.06 90.00
Space group C2/c (No. 15)
One atom of each set of equivalent atoms:
Ta 0.111 0.090 0.086
Ta 0.223 0.084 0.414
Cu 0.000 0.069 0.250
Cu 0.238 0.351 0.251
Mo 0.037 0.421 0.880
N 0.075 0.278 0.500
N 0.250 0.250 0.000

Computed properties:
VASP energy	-8.99	eV per atom



DyY2Al3Cu2Ni | PBE-GGA | relaxed

Lattice parameters (Å, degrees): 3.984 12.089 7.010 90.00 90.00 90.00
Space group Amm2 (No. 38)
One atom of each set of equivalent atoms:
Dy 0.000 0.000 0.000
Y 0.000 0.206 0.616
Al 0.500 0.000 0.641
Al 0.500 0.115 0.295
Cu 0.500 0.165 0.911
Ni 0.000 0.000 0.408

Computed properties:
VASP energy	-5.15	eV per atom



CdCu2GeSe3S | PBE-GGA | relaxed

Lattice parameters (Å, degrees): 8.148 8.164 6.842 90.00 125.92 90.00
Space group Cm (No. 8)
One atom of each set of equivalent atoms:
Cd 0.000 0.000 0.000
Cu 0.014 0.263 0.518
Ge 0.014 0.500 0.000
Se 0.144 0.000 0.730
Se 0.147 0.268 0.278
S 0.106 0.500 0.738

Computed properties:
VASP energy	-3.81	eV per atom



Nb4AuC2Se | PBE-GGA | relaxed

Lattice parameters (Å, degrees): 3.2807 3.2807 12.9294 90.00 90.00 120.00
Space group P-6m2 (No. 187)
One atom of each set of equivalent atoms:
Nb 0.0000 0.0000 0.1506
Nb 0.3333 0.6667 0.3278
Au 0.0000 0.0000 0.5000
C 0.6667 0.3333 0.2426
Se 0.3333 0.6667 0.0000

Computed properties:
VASP energy	-8.70	eV per atom



NbInCoPd | PBE-GGA | relaxed

Lattice parameters (Å, degrees): 6.389 6.389 6.389 90.00 90.00 90.00
Space group F-43m (No. 216)
One atom of each set of equivalent atoms:
Nb 0.000 0.000 0.000
In 0.250 0.250 0.250
Co 0.000 0.000 0.500
Pd 0.250 0.250 0.750

Computed properties:
VASP energy	-6.15	eV per atom



Ho2ScAl3Si2Pt | PBE-GGA | relaxed

Lattice parameters (Å, degrees): 4.165 11.730 6.835 90.00 90.00 90.00
Space group Amm2 (No. 38)
One atom of each set of equivalent atoms:
Ho 0.000 0.209 0.000
Sc 0.000 0.000 0.372
Al 0.500 0.000 0.028
Al 0.500 0.119 0.667
Si 0.500 0.162 0.291
Pt 0.000 0.000 0.778

Computed properties:
VASP energy	-5.72	eV per atom



YHf2Cu4Si4 | PBE-GGA | relaxed

Lattice parameters (Å, degrees): 3.932 6.505 13.128 90.00 90.00 90.00
Space group Immm (No. 71)
One atom of each set of equivalent atoms:
Y 0.000 0.000 0.000
Hf 0.000 0.500 0.124
Cu 0.000 0.307 0.329
Si 0.000 0.000 0.220
Si 0.000 0.182 0.500

Computed properties:
VASP energy	-6.28	eV per atom



Na3Tl4Au2 | PBE-GGA | relaxed

Lattice parameters (Å, degrees): 11.193 5.150 9.468 90.00 123.44 90.00
Space group C2/m (No. 12)
One atom of each set of equivalent atoms:
Na 0.000 0.000 0.000
Na 0.163 0.500 0.666
Tl 0.075 0.000 0.396
Tl 0.202 0.500 0.049
Au 0.108 0.500 0.279

Computed properties:
VASP energy	-2.42	eV per atom



NdYSiNi2Ge | PBE-GGA | relaxed

Lattice parameters (Å, degrees): 4.1011 4.1011 7.9115 90.00 90.00 120.00
Space group P3m1 (No. 156)
One atom of each set of equivalent atoms:
Nd 0.0000 0.0000 0.0000
Y 0.0000 0.0000 0.4921
Si 0.6667 0.3333 0.2568
Ni 0.3333 0.6667 0.2621
Ni 0.6667 0.3333 0.7298
Ge 0.3333 0.6667 0.7362

Computed properties:
VASP energy	-6.14	eV per atom



GdMgCu | PBE-GGA | relaxed

Lattice parameters (Å, degrees): 6.935 4.499 8.205 90.00 90.00 90.00
Space group Pnma (No. 62)
One atom of each set of equivalent atoms:
Gd 0.041 0.250 0.174
Mg 0.138 0.250 0.559
Cu 0.244 0.750 0.376

Computed properties:
VASP energy	-3.49	eV per atom



NdBPt | PBE-GGA | relaxed

Lattice parameters (Å, degrees): 6.341 6.341 6.341 90.00 90.00 90.00
Space group F-43m (No. 216)
One atom of each set of equivalent atoms:
Nd 0.000 0.000 0.000
B 0.000 0.000 0.500
Pt 0.250 0.250 0.750

Computed properties:
VASP energy	-5.58	eV per atom